Entry 1:
Zr2CdTc at its PBEsol-relaxed geometry. Source: the Alexandria database, functional meta-GGA SCAN.

Computed properties:
M_tot = 0.0 μB per formula unit
Formation enthalpy at 0 K = 65 kJ/mol of formula units

Lattice parameters (Å, degrees): 3.143 3.143 9.371 80.35 80.35 60.00
Sites, in units of the cell vectors:
Zr (0.989, 0.989, 0.032)
Zr (0.749, 0.749, 0.753)
Tc (0.254, 0.254, 0.237)
Cd (0.507, 0.507, 0.478)

Entry 2:
OsBr4Cl at its PBEsol-relaxed geometry. Source: the Alexandria database, functional meta-GGA SCAN.

Computed properties:
M_tot = 3.3 μB per formula unit
ΔE_f (raw) = 1538 meV per atom

Lattice parameters (Å, degrees): 5.860 5.860 5.860 60.00 60.00 60.00
Site moments in Bohr magnetons follow the coordinates.
Sites, in units of the cell vectors:
Br (0.375, 0.375, 0.375)  -0.05
Cl (0.750, 0.750, 0.750)  0.05
Br (0.375, 0.876, 0.375)  -0.05
Os (0.000, 0.000, 0.000)  2.98
Br (0.375, 0.375, 0.876)  -0.05
Br (0.876, 0.375, 0.375)  -0.05